(1)
First-principles (PBE-GGA) data for an optimized crystal structure of LuNpNi, as listed in OQMD.

Output
**Symmetry**: F-43m, No. 216
**Calculated total energy**: -84.22 eV per cell
**Magnetic moment**: 0.16 μB per formula unit

abc: 6.485 6.485 6.485
angles: 90.00 90.00 90.00
Atoms (fractional coordinates):
Lu1 0.000 0.000 0.000
Lu2 0.000 0.500 0.500
Lu3 0.500 0.000 0.500
Lu4 0.500 0.500 0.000
Np1 0.000 0.000 0.500
Np2 0.000 0.500 0.000
Np3 0.500 0.000 0.000
Np4 0.500 0.500 0.500
Ni1 0.250 0.250 0.750
Ni2 0.250 0.750 0.250
Ni3 0.750 0.250 0.250
Ni4 0.750 0.750 0.750



(2)
First-principles (PBE-GGA) data for an optimized crystal structure of LuNiOs2, as listed in OQMD.

Output
**Symmetry**: F-43m, No. 216
**Calculated total energy**: -128.08 eV per cell
**Magnetic moment**: 0.06 μB per formula unit

abc: 6.284 6.284 6.284
angles: 90.00 90.00 90.00
Atoms (fractional coordinates):
Lu1 0.000 0.000 0.000
Lu2 0.000 0.500 0.500
Lu3 0.500 0.000 0.500
Lu4 0.500 0.500 0.000
Ni1 0.250 0.250 0.250
Ni2 0.250 0.750 0.750
Ni3 0.750 0.250 0.750
Ni4 0.750 0.750 0.250
Os1 0.000 0.000 0.500
Os2 0.000 0.500 0.000
Os3 0.250 0.250 0.750
Os4 0.250 0.750 0.250
Os5 0.500 0.000 0.000
Os6 0.500 0.500 0.500
Os7 0.750 0.250 0.250
Os8 0.750 0.750 0.750



(3)
First-principles (PBE-GGA) data for an optimized crystal structure of LuNi2Os, as listed in OQMD.

Output
**Symmetry**: F-43m, No. 216
**Calculated total energy**: -105.37 eV per cell
**Magnetic moment**: 2.13 μB per formula unit

abc: 6.213 6.213 6.213
angles: 90.00 90.00 90.00
Atoms (fractional coordinates):
Lu1 0.000 0.000 0.000
Lu2 0.000 0.500 0.500
Lu3 0.500 0.000 0.500
Lu4 0.500 0.500 0.000
Ni1 0.000 0.000 0.500
Ni2 0.000 0.500 0.000
Ni3 0.250 0.250 0.250
Ni4 0.250 0.750 0.750
Ni5 0.500 0.000 0.000
Ni6 0.500 0.500 0.500
Ni7 0.750 0.250 0.750
Ni8 0.750 0.750 0.250
Os1 0.250 0.250 0.750
Os2 0.250 0.750 0.250
Os3 0.750 0.250 0.250
Os4 0.750 0.750 0.750



(4)
First-principles (PBE-GGA) data for an optimized crystal structure of Lu2NiOs, as listed in OQMD.

Output
**Energy above the most stable polymorph in this dataset**: 0 meV per atom
**Symmetry**: F-43m, No. 216
**Calculated total energy**: -101.96 eV per cell
**Magnetic moment**: 0.01 μB per formula unit

abc: 6.565 6.565 6.565
angles: 90.00 90.00 90.00
Atoms (fractional coordinates):
Lu1 0.000 0.000 0.000
Lu2 0.000 0.500 0.500
Lu3 0.250 0.250 0.250
Lu4 0.250 0.750 0.750
Lu5 0.500 0.000 0.500
Lu6 0.500 0.500 0.000
Lu7 0.750 0.250 0.750
Lu8 0.750 0.750 0.250
Ni1 0.250 0.250 0.750
Ni2 0.250 0.750 0.250
Ni3 0.750 0.250 0.250
Ni4 0.750 0.750 0.750
Os1 0.000 0.000 0.500
Os2 0.000 0.500 0.000
Os3 0.500 0.000 0.000
Os4 0.500 0.500 0.500



(5)
First-principles (PBE-GGA) data for an optimized crystal structure of LuNiOsPb, as listed in OQMD.

Output
**Symmetry**: F-43m, No. 216
**Calculated total energy**: -93.13 eV per cell
**Magnetic moment**: 0.55 μB per formula unit

abc: 6.696 6.696 6.696
angles: 90.00 90.00 90.00
Atoms (fractional coordinates):
Lu1 0.000 0.000 0.000
Lu2 0.000 0.500 0.500
Lu3 0.500 0.000 0.500
Lu4 0.500 0.500 0.000
Ni1 0.000 0.000 0.500
Ni2 0.000 0.500 0.000
Ni3 0.500 0.000 0.000
Ni4 0.500 0.500 0.500
Os1 0.250 0.250 0.750
Os2 0.250 0.750 0.250
Os3 0.750 0.250 0.250
Os4 0.750 0.750 0.750
Pb1 0.250 0.250 0.250
Pb2 0.250 0.750 0.750
Pb3 0.750 0.250 0.750
Pb4 0.750 0.750 0.250



(6)
First-principles (PBE-GGA) data for an optimized crystal structure of LuSiNiOs, as listed in OQMD.

Output
**Symmetry**: F-43m, No. 216
**Calculated total energy**: -103.01 eV per cell
**Magnetic moment**: 0.35 μB per formula unit

abc: 6.334 6.334 6.334
angles: 90.00 90.00 90.00
Atoms (fractional coordinates):
Lu1 0.000 0.000 0.000
Lu2 0.000 0.500 0.500
Lu3 0.500 0.000 0.500
Lu4 0.500 0.500 0.000
Si1 0.250 0.250 0.250
Si2 0.250 0.750 0.750
Si3 0.750 0.250 0.750
Si4 0.750 0.750 0.250
Ni1 0.000 0.000 0.500
Ni2 0.000 0.500 0.000
Ni3 0.500 0.000 0.000
Ni4 0.500 0.500 0.500
Os1 0.250 0.250 0.750
Os2 0.250 0.750 0.250
Os3 0.750 0.250 0.250
Os4 0.750 0.750 0.750



(7)
First-principles (PBE-GGA) data for an optimized crystal structure of LuNiSnOs, as listed in OQMD.

Output
**Symmetry**: F-43m, No. 216
**Calculated total energy**: -97.28 eV per cell
**Magnetic moment**: 0.30 μB per formula unit

abc: 6.585 6.585 6.585
angles: 90.00 90.00 90.00
Atoms (fractional coordinates):
Lu1 0.000 0.000 0.000
Lu2 0.000 0.500 0.500
Lu3 0.500 0.000 0.500
Lu4 0.500 0.500 0.000
Ni1 0.000 0.000 0.500
Ni2 0.000 0.500 0.000
Ni3 0.500 0.000 0.000
Ni4 0.500 0.500 0.500
Sn1 0.250 0.250 0.250
Sn2 0.250 0.750 0.750
Sn3 0.750 0.250 0.750
Sn4 0.750 0.750 0.250
Os1 0.250 0.250 0.750
Os2 0.250 0.750 0.250
Os3 0.750 0.250 0.250
Os4 0.750 0.750 0.750



(8)
First-principles (PBE-GGA) data for an optimized crystal structure of LuTlNiOs, as listed in OQMD.

Output
**Symmetry**: F-43m, No. 216
**Calculated total energy**: -88.10 eV per cell
**Magnetic moment**: 0.17 μB per formula unit

abc: 6.620 6.620 6.620
angles: 90.00 90.00 90.00
Atoms (fractional coordinates):
Lu1 0.000 0.000 0.000
Lu2 0.000 0.500 0.500
Lu3 0.500 0.000 0.500
Lu4 0.500 0.500 0.000
Tl1 0.250 0.250 0.250
Tl2 0.250 0.750 0.750
Tl3 0.750 0.250 0.750
Tl4 0.750 0.750 0.250
Ni1 0.000 0.000 0.500
Ni2 0.000 0.500 0.000
Ni3 0.500 0.000 0.000
Ni4 0.500 0.500 0.500
Os1 0.250 0.250 0.750
Os2 0.250 0.750 0.250
Os3 0.750 0.250 0.250
Os4 0.750 0.750 0.750